1.
4
Lattice="3.724 0.000 0.000 0.000 4.529 0.000 -1.862 0.000 5.235" Properties=species:S:1:pos:R:3 comment="YHoCuPd, optimized geometry, DFT GGA-PBE" dos_at_fermi_per_ev_cell=2.374 formation_energy_ev_per_atom=-0.60 de_polymorph_mev_per_atom=0 pbc="T T T"
Cu 1.862 2.265 0.818
Ho 1.862 2.265 3.788
Pd 0.000 0.000 4.407
Y 0.000 0.000 1.458

2.
4
Lattice="4.938 0.000 0.000 2.469 4.276 0.000 2.469 1.425 4.032" Properties=species:S:1:pos:R:3 comment="YHoCuPd, optimized geometry, DFT GGA-PBE" dos_at_fermi_per_ev_cell=2.871 formation_energy_ev_per_atom=-0.57 de_polymorph_mev_per_atom=34 pbc="T T T"
Ho 2.469 1.425 1.008
Cu 0.000 0.000 0.000
Pd 4.938 2.851 2.016
Y 7.407 4.276 3.024

3.
18
Lattice="11.056 3.136 2.225 8.187 8.065 2.225 8.187 4.766 6.876" Properties=species:S:1:pos:R:3 comment="Ho2Zn12Cu3Pd, optimized geometry, DFT GGA-PBE" dos_at_fermi_per_ev_cell=10.666 formation_energy_ev_per_atom=-0.07 pbc="T T T"
Zn 7.138 4.155 4.638
Zn 12.707 7.397 3.655
Zn 14.724 10.073 5.553
Zn 14.724 8.570 7.671
Zn 16.030 7.828 5.553
Zn 11.401 8.139 5.773
Zn 7.138 5.751 2.388
Zn 12.707 5.894 5.773
Zn 20.293 11.812 6.688
Zn 18.905 12.600 8.937
Zn 8.526 3.367 2.388
Zn 20.293 10.216 8.937
Cu 4.094 4.032 1.112
Cu 4.094 2.383 3.438
Cu 5.528 1.568 1.112
Pd 0.000 0.000 0.000
Ho 17.550 10.216 7.246
Ho 9.881 5.751 4.079

4.
18
Lattice="5.187 0.000 0.000 0.000 9.761 0.000 -2.593 -4.880 6.898" Properties=species:S:1:pos:R:3 comment="HoZn6CuPd, optimized geometry, DFT GGA-PBE" dos_at_fermi_per_ev_cell=8.517 formation_energy_ev_per_atom=0.04 pbc="T T T"
Zn 1.291 -0.155 4.765
Zn 0.000 7.320 1.236
Zn -1.291 -0.155 4.765
Zn 3.885 -0.155 2.133
Zn 2.593 -2.440 5.662
Zn 3.885 5.035 2.133
Zn 1.291 5.035 4.765
Zn 1.302 -0.155 2.133
Zn 2.593 7.320 0.817
Zn 1.302 5.035 2.133
Zn -1.291 5.035 4.765
Zn 0.000 -2.440 6.081
Pd -1.297 -2.440 3.449
Pd 1.297 -2.440 3.449
Ho 0.000 2.440 1.575
Ho 2.593 2.440 5.323
Cu 2.593 0.000 0.000
Cu 2.593 4.880 0.000

5.
8
Lattice="4.952 0.000 0.000 2.476 4.288 0.000 2.476 1.429 8.078" Properties=species:S:1:pos:R:3 comment="Ho4ZnCuPd2, optimized geometry, DFT GGA-PBE" dos_at_fermi_per_ev_cell=4.032 formation_energy_ev_per_atom=-0.61 pbc="T T T"
Ho 4.952 2.859 7.023
Ho 7.428 4.288 3.074
Ho 4.952 2.859 1.055
Ho 2.476 1.429 5.004
Zn 0.000 0.000 0.000
Pd 2.476 1.429 1.966
Pd 7.428 4.288 6.111
Cu 4.952 2.859 4.039

6.
4
Lattice="-0.045 3.102 -3.672 0.433 -1.608 -4.510 -3.772 0.147 -2.977" Properties=species:S:1:pos:R:3 comment="HoZrCuPd, optimized geometry, DFT GGA-PBE" dos_at_fermi_per_ev_cell=3.961 formation_energy_ev_per_atom=-0.40 pbc="T T T"
Zr 0.000 0.000 0.000
Cu -0.846 0.410 -2.790
Pd -2.539 1.231 -8.369
Ho -1.692 0.821 -5.579

7.
4
Lattice="-3.435 0.594 -0.344 -0.675 -3.244 1.136 -0.312 2.925 8.168" Properties=species:S:1:pos:R:3 comment="PmHo2Cu, optimized geometry, DFT GGA-PBE" dos_at_fermi_per_ev_cell=4.069 formation_energy_ev_per_atom=-0.11 de_polymorph_mev_per_atom=0 pbc="T T T"
Pm -2.211 0.137 4.480
Ho -0.252 2.361 6.593
Ho -0.060 0.564 1.576
Cu -2.055 -1.325 0.396

8.
4
Lattice="-0.321 3.031 -2.283 -4.202 -1.219 -1.028 -1.630 1.261 5.163" Properties=species:S:1:pos:R:3 comment="PmHoCu2, optimized geometry, DFT GGA-PBE" dos_at_fermi_per_ev_cell=2.821 formation_energy_ev_per_atom=-0.22 de_polymorph_mev_per_atom=0 pbc="T T T"
Ho -1.835 3.431 3.428
Cu -3.529 0.928 3.497
Cu -0.933 0.760 2.911
Pm -2.924 1.250 0.647

9.
4
Lattice="4.967 0.000 0.000 2.484 4.302 0.000 2.484 1.434 4.056" Properties=species:S:1:pos:R:3 comment="PmHoCu2, optimized geometry, DFT GGA-PBE" dos_at_fermi_per_ev_cell=3.564 formation_energy_ev_per_atom=-0.20 de_polymorph_mev_per_atom=20 pbc="T T T"
Pm 0.000 0.000 0.000
Cu 2.484 1.434 1.014
Cu 7.451 4.302 3.042
Ho 4.967 2.868 2.028

10.
4
Lattice="3.669 0.000 0.000 1.834 3.177 0.000 1.834 1.059 9.691" Properties=species:S:1:pos:R:3 comment="PmHo2Cu, optimized geometry, DFT GGA-PBE" dos_at_fermi_per_ev_cell=5.041 formation_energy_ev_per_atom=0.02 de_polymorph_mev_per_atom=132 pbc="T T T"
Pm 3.669 2.118 4.818
Ho 1.834 1.059 7.789
Ho 1.834 1.059 1.909
Cu 3.669 2.118 0.021

11.
10
Lattice="-1.607 -3.610 2.637 5.229 -4.225 -2.598 4.320 2.024 5.403" Properties=species:S:1:pos:R:3 comment="Pm2HoCu2, optimized geometry, DFT GGA-PBE" dos_at_fermi_per_ev_cell=13.229 formation_energy_ev_per_atom=-0.13 de_polymorph_mev_per_atom=0 pbc="T T T"
Cu 3.779 -2.381 -0.957
Cu 7.278 -2.451 1.079
Cu 5.770 0.180 3.762
Cu 2.271 0.250 1.726
Pm 1.656 -2.848 1.388
Pm 4.952 -4.641 0.942
Pm 6.287 -2.963 4.053
Pm 2.990 -1.169 4.500
Ho 4.774 -1.101 1.402
Ho 0.000 0.000 0.000

12.
7
Lattice="5.588 0.093 -1.909 -2.758 4.788 -2.086 0.054 -0.093 5.905" Properties=species:S:1:pos:R:3 comment="PmHo2Cu4, optimized geometry, DFT GGA-PBE" dos_at_fermi_per_ev_cell=4.435 formation_energy_ev_per_atom=0.06 pbc="T T T"
Cu -1.379 2.394 -1.043
Cu 2.794 0.047 -0.955
Cu 0.027 -0.047 2.953
Cu 1.442 2.394 0.955
Pm 0.000 0.000 0.000
Ho 2.821 0.000 1.998
Ho 1.415 2.441 -1.998

13.
8
Lattice="4.932 -0.002 0.000 -2.468 5.854 0.000 0.000 0.000 7.498" Properties=species:S:1:pos:R:3 comment="PmHo2Cu, optimized geometry, DFT GGA-PBE" dos_at_fermi_per_ev_cell=10.915 formation_energy_ev_per_atom=-0.07 de_polymorph_mev_per_atom=39 pbc="T T T"
Cu 0.000 2.354 1.875
Cu 2.464 3.498 5.624
Ho 2.466 1.746 0.232
Ho 2.466 1.746 3.517
Ho -0.002 4.105 7.266
Ho -0.002 4.105 3.981
Pm 2.464 5.300 1.875
Pm -0.001 0.552 5.624

14.
3
Lattice="-0.785 3.027 1.593 -3.377 -0.425 -0.856 1.110 -4.368 4.983" Properties=species:S:1:pos:R:3 comment="PmHoCu, optimized geometry, DFT GGA-PBE" dos_at_fermi_per_ev_cell=3.045 formation_energy_ev_per_atom=-0.11 de_polymorph_mev_per_atom=2 pbc="T T T"
Cu -2.387 0.333 2.057
Ho -0.062 -0.197 0.344
Pm -0.602 -1.903 3.319

15.
3
Lattice="3.841 0.000 0.000 0.000 4.796 0.000 0.000 -2.398 4.154" Properties=species:S:1:pos:R:3 comment="PmHoCu, optimized geometry, DFT GGA-PBE" dos_at_fermi_per_ev_cell=3.193 formation_energy_ev_per_atom=0.06 de_polymorph_mev_per_atom=172 pbc="T T T"
Ho 2.222 2.398 1.385
Cu 1.436 0.000 2.769
Pm 0.183 0.000 0.000

16.
10
Lattice="4.304 0.000 0.000 0.000 3.710 0.000 0.000 -1.855 12.732" Properties=species:S:1:pos:R:3 comment="PmHoCu3, optimized geometry, DFT GGA-PBE" dos_at_fermi_per_ev_cell=6.977 formation_energy_ev_per_atom=-0.23 pbc="T T T"
Ho 1.076 1.855 7.517
Ho 3.228 0.000 5.214
Pm 3.228 1.855 10.895
Pm 1.076 0.000 1.837
Cu 1.076 0.000 9.673
Cu 1.076 0.000 12.129
Cu 3.228 0.000 8.298
Cu 1.076 1.855 4.434
Cu 3.228 1.855 3.058
Cu 3.228 1.855 0.603

17.
6
Lattice="-2.411 -2.056 1.521 1.921 -2.836 -0.788 5.111 0.881 9.292" Properties=species:S:1:pos:R:3 comment="Pm2HoCu3, optimized geometry, DFT GGA-PBE" dos_at_fermi_per_ev_cell=3.126 formation_energy_ev_per_atom=-0.20 pbc="T T T"
Pm 3.995 -1.715 8.076
Pm 0.625 -2.296 1.950
Cu 1.767 0.305 3.212
Cu 3.344 0.576 6.080
Cu 0.000 0.000 0.000
Ho 2.310 -2.005 5.013

18.
11
Lattice="-2.248 -2.795 -0.128 0.517 -0.732 6.929 -7.902 8.748 -1.979" Properties=species:S:1:pos:R:3 comment="Pm2Ho5Cu4, optimized geometry, DFT GGA-PBE" dos_at_fermi_per_ev_cell=13.629 formation_energy_ev_per_atom=0.01 pbc="T T T"
Cu -9.969 5.706 0.128
Cu -1.886 -0.950 3.565
Cu 0.337 -0.485 4.695
Cu -7.746 6.171 1.258
Pm -5.071 1.591 3.994
Pm -4.561 3.630 0.829
Ho -1.124 -1.398 -0.064
Ho -1.797 1.193 5.519
Ho -7.611 3.691 2.748
Ho -2.021 1.530 2.075
Ho -7.835 4.028 -0.696

19.
12
Lattice="5.175 0.000 0.000 2.587 4.481 0.000 2.587 1.494 8.452" Properties=species:S:1:pos:R:3 comment="Pm2HoCu9, optimized geometry, DFT GGA-PBE" dos_at_fermi_per_ev_cell=7.629 formation_energy_ev_per_atom=-0.16 pbc="T T T"
Cu 6.460 2.245 2.030
Cu 3.889 2.245 2.030
Cu 5.175 2.988 4.226
Cu 6.460 3.730 6.422
Cu 2.587 1.494 0.031
Cu 7.762 4.481 8.422
Cu 5.175 1.503 6.422
Cu 5.175 4.472 2.030
Cu 3.889 3.730 6.422
Ho 0.000 0.000 0.000
Pm 7.762 4.481 3.561
Pm 2.587 1.494 4.892

20.
10
Lattice="3.452 0.000 0.000 0.000 3.452 0.000 0.000 0.000 17.573" Properties=species:S:1:pos:R:3 comment="PmHo4Cu5, optimized geometry, DFT GGA-PBE" dos_at_fermi_per_ev_cell=3.992 formation_energy_ev_per_atom=-0.25 pbc="T T T"
Ho 0.000 0.000 10.524
Ho 0.000 0.000 7.049
Ho 0.000 0.000 3.582
Ho 0.000 0.000 13.991
Cu 1.726 1.726 1.909
Cu 1.726 1.726 15.664
Cu 1.726 1.726 8.786
Cu 1.726 1.726 5.312
Cu 1.726 1.726 12.261
Pm 0.000 0.000 0.000

21.
10
Lattice="-1.650 0.807 4.050 4.257 -2.710 2.274 2.147 11.182 -1.353" Properties=species:S:1:pos:R:3 comment="Pm2HoCu2, optimized geometry, DFT GGA-PBE" dos_at_fermi_per_ev_cell=11.254 formation_energy_ev_per_atom=-0.07 de_polymorph_mev_per_atom=57 pbc="T T T"
Pm 2.012 5.520 0.941
Pm 2.742 3.759 4.030
Pm 4.773 7.921 1.587
Pm -0.020 1.358 3.384
Cu 3.209 10.118 0.512
Cu 0.039 4.249 2.831
Cu 1.545 -0.839 4.459
Cu 4.715 5.030 2.140
Ho 1.277 8.907 2.408
Ho 3.477 0.372 2.563

22.
6
Lattice="3.474 0.000 0.000 0.000 3.474 0.000 0.000 0.000 10.533" Properties=species:S:1:pos:R:3 comment="PmHo2Cu3, optimized geometry, DFT GGA-PBE" dos_at_fermi_per_ev_cell=2.917 formation_energy_ev_per_atom=-0.23 pbc="T T T"
Cu 0.000 0.000 3.377
Cu 0.000 0.000 0.000
Cu 0.000 0.000 7.156
Ho 1.737 1.737 1.716
Ho 1.737 1.737 8.816
Pm 1.737 1.737 5.266

23.
18
Lattice="5.649 0.000 0.000 0.000 8.920 0.000 0.000 0.000 8.920" Properties=species:S:1:pos:R:3 comment="PmHo4Cu4, optimized geometry, DFT GGA-PBE" dos_at_fermi_per_ev_cell=26.281 formation_energy_ev_per_atom=-0.03 pbc="T T T"
Pm 2.824 4.460 4.460
Pm 0.000 0.000 0.000
Ho 2.264 2.917 8.110
Ho 3.385 8.110 6.003
Ho 0.561 1.543 5.270
Ho 2.264 6.003 0.810
Ho 5.088 5.270 7.377
Ho 3.385 0.810 2.917
Ho 0.561 7.377 3.650
Ho 5.088 3.650 1.543
Cu 5.006 2.485 7.650
Cu 3.467 6.945 3.190
Cu 0.643 1.270 2.485
Cu 2.182 5.730 6.945
Cu 0.643 7.650 6.435
Cu 5.006 6.435 1.270
Cu 3.467 1.975 5.730
Cu 2.182 3.190 1.975

24.
16
Lattice="-4.236 2.458 4.240 1.663 -4.869 4.484 7.067 5.812 3.690" Properties=species:S:1:pos:R:3 comment="PmHo2Cu, optimized geometry, DFT GGA-PBE" dos_at_fermi_per_ev_cell=20.040 formation_energy_ev_per_atom=-0.10 de_polymorph_mev_per_atom=11 pbc="T T T"
Ho 2.068 2.467 3.814
Ho 2.426 0.934 8.601
Ho 5.141 3.167 10.018
Ho -0.646 0.235 2.396
Ho 0.788 -2.549 4.035
Ho 3.707 5.951 8.379
Ho 3.502 -0.317 5.453
Ho 0.992 3.719 6.962
Cu 1.433 -1.845 6.757
Cu 3.062 5.247 5.657
Cu 2.368 3.697 9.426
Cu 2.126 -0.296 2.988
Pm -1.879 3.531 4.632
Pm 4.571 2.869 6.512
Pm -0.077 0.533 5.902
Pm 6.374 -0.129 7.782